(1)
Material: YPRh2
Method: DFT, PBE-GGA
State: relaxed

Results
The value obtained for the density of states at the Fermi level is 0.462 states/eV per atom. As for the uncorrected energy: -7.3862 eV per atom. The value obtained for the formation energy is -0.742 eV/atom. The value obtained for the total magnetic moment is 0.00 μB per atom.

Unit cell a=3.5593 b=4.0706 c=5.4974 alpha=90.00 beta=90.00 gamma=90.00
With the nearest neighbours (Å) after each atom.
Element x y z (fractional)
1 Rh 0.0000 0.5000 0.7509  2 P 2.25
2 P 0.5000 0.5000 0.5000  4 Rh 2.25
3 Rh 0.0000 0.5000 0.2491  2 P 2.25
4 Y 0.5000 0.0000 0.0000  8 Rh 3.03



(2)
Material: YP2Rh
Method: DFT, PBE-GGA
State: relaxed

Results
The value obtained for the density of states at the Fermi level is 0.167 states/eV per atom. As for the uncorrected energy: -7.1839 eV per atom. The value obtained for the formation energy is -1.025 eV/atom. The energy relative to the lowest polymorph listed for this composition is 0 meV/atom. The value obtained for the total magnetic moment is 0.00 μB per atom.

Unit cell a=3.8643 b=3.8643 c=5.8384 alpha=70.59 beta=70.59 gamma=60.02
With the nearest neighbours (Å) after each atom.
Element x y z (fractional)
1 Y 0.2500 0.2500 0.2500  6 P 2.79
2 P 0.0203 0.0203 0.9395  3 Rh 2.45-2.46
3 P 0.4797 0.4797 0.5605  3 Rh 2.45-2.46
4 Rh 0.7500 0.7500 0.7500  6 P 2.45-2.46



(3)
Material: YP2Rh
Method: DFT, PBE-GGA
State: relaxed

Results
The value obtained for the density of states at the Fermi level is 0.965 states/eV per atom. As for the uncorrected energy: -6.5828 eV per atom. The value obtained for the formation energy is -0.424 eV/atom. The energy relative to the lowest polymorph listed for this composition is 601 meV/atom. The value obtained for the total magnetic moment is 0.00 μB per atom.

Unit cell a=3.1482 b=3.1482 c=6.6971 alpha=90.00 beta=90.00 gamma=90.00
With the nearest neighbours (Å) after each atom.
Element x y z (fractional)
1 Rh 0.5000 0.5000 0.2500  8 P 2.62
2 Y 0.5000 0.5000 0.7500  8 P 2.97, 4 Y 3.15
3 P 0.0000 0.0000 0.0434  4 Rh 2.62, 1 P 2.77
4 P 0.0000 0.0000 0.4566  4 Rh 2.62, 1 P 2.77



(4)
Material: Y4PRh
Method: DFT, PBE-GGA
State: relaxed

Results
The value obtained for the density of states at the Fermi level is 1.405 states/eV per atom. As for the uncorrected energy: -5.8706 eV per atom. The value obtained for the formation energy is 0.566 eV/atom. The value obtained for the total magnetic moment is 0.10 μB per atom.

Unit cell a=5.9783 b=5.9783 c=5.9783 alpha=60.00 beta=60.00 gamma=60.00
With the nearest neighbours (Å) after each atom.
Element x y z (fractional)
1 Y 0.3747 0.3747 0.8759  6 Y 2.98-3.00
2 Y 0.3747 0.8759 0.3747  6 Y 2.98-3.00
3 Y 0.3747 0.3747 0.3747  6 Y 2.98-3.00
4 Rh 0.0000 0.0000 0.0000  12 Y 3.50, 4 P 3.66
5 P 0.7500 0.7500 0.7500  12 Y 3.51, 4 Rh 3.66
6 Y 0.8759 0.3747 0.3747  6 Y 2.98-3.00